First-principles (PBE-GGA) data for crystalline AgS3Cl at its relaxed geometry, as listed in Alexandria via LeMat-Bulk.

Properties
Its space group is Pm-3m (221). As for the total magnetization: 0.00 Bohr magnetons per cell. As for the crystal system: cubic. For the uncorrected formation energy, the calculation gives 1.101 eV/atom. The calculation puts the total energy at -11.6 eV/cell.

```
AgS3Cl
1.0
-1.0956 -2.7920 3.6279
0.1737 -3.7530 -2.8358
4.5746 -0.5261 0.9766
S Ag Cl
3 1 1
Direct
0.0000 0.5000 0.0000
0.0000 0.0000 0.5000
0.5000 0.0000 0.0000
0.5000 0.5000 0.5000
0.0000 0.0000 0.0000
```

---

First-principles (PBE-GGA) data for crystalline AgS3Cl at its relaxed geometry, as listed in Alexandria via LeMat-Bulk.

Properties
Its space group is Pm-3m (221). As for the total magnetization: 4.35 Bohr magnetons per cell. As for the crystal system: cubic. For the uncorrected formation energy, the calculation gives 1.026 eV/atom. The calculation puts the total energy at -11.9 eV/cell.

```
AgS3Cl
1.0
-4.5424 -1.6696 -1.0557
1.8146 -2.4810 -3.8842
0.7804 -3.9487 2.8868
S Ag Cl
3 1 1
Direct
0.0000 0.5000 0.0000
0.0000 0.0000 0.5000
0.5000 0.0000 0.0000
0.0000 0.0000 0.0000
0.5000 0.5000 0.5000
```

---

First-principles (PBE-GGA) data for crystalline Ag5SCl4 at its relaxed geometry, as listed in Alexandria via LeMat-Bulk.

Properties
Its space group is I4 (79). As for the total magnetization: 0.00 Bohr magnetons per cell. As for the crystal system: tetragonal. For the uncorrected formation energy, the calculation gives -0.284 eV/atom. The calculation puts the total energy at -28.6 eV/cell.

```
Ag5SCl4
1.0
0.9678 1.2499 -6.5264
-3.6667 -5.1778 2.1996
-3.4732 5.3509 2.0969
Ag S Cl
5 1 4
Direct
0.9064 0.2920 0.1842
0.2920 0.1077 0.3856
0.7221 0.9064 0.6144
0.1077 0.7221 0.8158
0.6217 0.6217 0.0000
0.0055 0.0055 0.0000
0.3777 0.7606 0.2211
0.7606 0.5395 0.3829
0.1566 0.3777 0.6171
0.5395 0.1566 0.7789
```

---

First-principles (PBE-GGA) data for crystalline AgS2Cl8 at its relaxed geometry, as listed in Alexandria via LeMat-Bulk.

Properties
Its space group is C2/m (12). As for the total magnetization: 1.04 Bohr magnetons per cell. As for the crystal system: monoclinic. For the uncorrected formation energy, the calculation gives -0.107 eV/atom. The calculation puts the total energy at -27.1 eV/cell.

```
AgS2Cl8
1.0
-3.0939 -0.6418 -8.4388
7.3693 -1.4869 0.5717
-0.4064 -6.4971 3.8035
Ag S Cl
1 2 8
Direct
0.0000 0.0000 0.0000
0.3425 0.7128 0.7128
0.6575 0.2872 0.2872
0.7482 0.0716 0.4650
0.2518 0.5350 0.9284
0.7815 0.7684 0.7684
0.2185 0.2316 0.2316
0.7482 0.4650 0.0716
0.2518 0.9284 0.5350
0.2697 0.5143 0.5143
0.7303 0.4857 0.4857
```

---

First-principles (PBE-GGA) data for crystalline AgS2Cl at its relaxed geometry, as listed in Alexandria via LeMat-Bulk.

Properties
Its space group is P2_1/m (11). As for the total magnetization: 0.00 Bohr magnetons per cell. As for the crystal system: monoclinic. For the uncorrected formation energy, the calculation gives -0.056 eV/atom. The calculation puts the total energy at -26.4 eV/cell.

```
AgS2Cl
1.0
5.4844 0.8822 0.0000
-0.5514 3.7758 0.0000
0.0000 0.0000 9.6492
Ag S Cl
2 4 2
Direct
0.7478 0.7230 0.2500
0.2522 0.2770 0.7500
0.4425 0.6965 0.0566
0.4425 0.6965 0.4434
0.5575 0.3035 0.9434
0.5575 0.3035 0.5566
0.0495 0.2090 0.2500
0.9505 0.7910 0.7500
```

---

First-principles (PBE-GGA) data for crystalline Ag6SCl4 at its relaxed geometry, as listed in Alexandria via LeMat-Bulk.

Properties
Its space group is Cc (9). As for the total magnetization: 0.00 Bohr magnetons per cell. As for the crystal system: monoclinic. For the uncorrected formation energy, the calculation gives -0.301 eV/atom. The calculation puts the total energy at -63.9 eV/cell.

```
Ag6SCl4
1.0
6.2580 0.0000 1.8896
2.6829 5.8893 2.4222
-0.9002 1.0591 14.2887
Ag S Cl
12 2 8
Direct
0.4565 0.3596 0.1703
0.0135 0.8596 0.6703
0.5685 0.5762 0.4096
0.4458 0.0762 0.9096
0.3819 0.1912 0.4861
0.9408 0.6912 0.9861
0.9280 0.2597 0.9702
0.8421 0.7597 0.4702
0.8091 0.1878 0.3082
0.6949 0.6878 0.8082
0.0786 0.2645 0.7615
0.8953 0.7645 0.2615
0.5326 0.0038 0.3525
0.1111 0.5038 0.8525
0.3835 0.9235 0.6857
0.0073 0.4235 0.1857
0.9246 0.1977 0.4887
0.3891 0.6977 0.9887
0.1991 0.5359 0.5615
0.7035 0.0359 0.0615
0.7299 0.1863 0.7599
0.3239 0.6863 0.2599
```